! Ce4NiO10 | Alexandria via LeMat-Bulk | GGA+U | relaxed; values from VASP
! - energy (eV/atom) = -7.78
! - magnetization (μB per atom) = 0.11
&SYSTEM
  ibrav = 0, nat = 15, ntyp = 3
/
ATOMIC_SPECIES
Ce 140.12 Ce.upf
Ni 58.69 Ni.upf
O 16.00 O.upf
CELL_PARAMETERS angstrom
1.906 1.101 15.084
-1.906 1.101 15.084
0.000 -2.201 15.084
ATOMIC_POSITIONS angstrom
Ce 0.000 0.000 4.797
Ce 0.000 0.000 13.483
Ce 0.000 0.000 31.769
Ce 0.000 0.000 40.455
Ni 0.000 0.000 22.626
O 0.000 0.000 2.410
O 0.000 0.000 7.361
O 0.000 0.000 11.099
O 0.000 0.000 15.882
O 0.000 0.000 20.640
O 0.000 0.000 24.612
O 0.000 0.000 29.370
O 0.000 0.000 34.153
O 0.000 0.000 37.891
O 0.000 0.000 42.842